(A)
The following is a GGA-PBE calculation of a relaxed ErZn9Ag2 crystal, from Alexandria.

a b c (Å): 5.213 5.213 8.833
angles (deg): 72.84 72.84 60.00
Fractional positions:
Er1 0.000 0.000 0.000
Zn1 0.666 0.666 0.001
Zn2 0.334 0.334 0.999
Zn3 0.500 0.500 0.500
Zn4 0.411 0.411 0.258
Zn5 0.920 0.411 0.258
Zn6 0.411 0.920 0.258
Zn7 0.589 0.589 0.742
Zn8 0.589 0.080 0.742
Zn9 0.080 0.589 0.742
Ag1 0.863 0.863 0.412
Ag2 0.137 0.137 0.588

Summary:
* volume: 195.4 Å³/f.u.
* Fermi-level density of states: 3.43 states/eV per cell
* space-group type: R-3m, No. 166



(B)
The following is a GGA-PBE calculation of a relaxed ErZn9Ag2 crystal, from Alexandria.

a b c (Å): 3.026 8.794 8.794
angles (deg): 120.00 90.00 90.00
Fractional positions:
Er1 0.000 0.000 0.000
Zn1 0.500 0.822 0.178
Zn2 0.000 0.000 0.500
Zn3 0.000 0.500 0.500
Zn4 0.500 0.822 0.643
Zn5 0.500 0.178 0.822
Zn6 0.500 0.643 0.822
Zn7 0.500 0.178 0.357
Zn8 0.000 0.500 0.000
Zn9 0.500 0.357 0.178
Ag1 0.000 0.667 0.333
Ag2 0.000 0.333 0.667

Summary:
* volume: 202.6 Å³/f.u.
* Fermi-level density of states: 4.61 states/eV per cell
* space-group type: P6/mmm, No. 191



(A) wins, 61 meV per atom ahead of the next structure.



(A)
The following is a GGA-PBE calculation of a relaxed Er6Zn2Ag crystal, from Alexandria.

a b c (Å): 4.913 4.913 11.058
angles (deg): 102.83 102.83 90.00
Fractional positions:
Er1 0.914 0.414 0.828
Er2 0.414 0.914 0.828
Er3 0.086 0.586 0.172
Er4 0.750 0.250 0.500
Er5 0.250 0.750 0.500
Er6 0.586 0.086 0.172
Zn1 0.333 0.333 0.667
Zn2 0.667 0.667 0.333
Ag1 0.000 0.000 0.000

Summary:
* volume: 253.4 Å³/f.u.
* Fermi-level density of states: 9.38 states/eV per cell
* space-group type: I4/mmm, No. 139



(B)
The following is a GGA-PBE calculation of a relaxed Er6Zn2Ag crystal, from Alexandria.

a b c (Å): 8.441 8.441 8.441
angles (deg): 108.69 111.44 108.31
Fractional positions:
Er1 0.555 0.733 0.821
Er2 0.445 0.267 0.179
Er3 0.088 0.267 0.821
Er4 0.912 0.733 0.179
Er5 0.802 0.750 0.552
Er6 0.198 0.250 0.448
Er7 0.198 0.750 0.948
Er8 0.802 0.250 0.052
Er9 0.717 0.395 0.678
Er10 0.283 0.605 0.322
Er11 0.283 0.962 0.678
Er12 0.717 0.038 0.322
Zn1 0.500 0.374 0.874
Zn2 0.500 0.626 0.126
Zn3 0.637 0.000 0.637
Zn4 0.363 0.000 0.363
Ag1 0.000 0.500 0.500
Ag2 0.000 0.000 0.000

Summary:
* volume: 231.3 Å³/f.u.
* Fermi-level density of states: 19.36 states/eV per cell
* space-group type: Immm, No. 71



(B) wins, 203 meV per atom ahead of the next structure.



(A)
The following is a GGA-PBE calculation of a relaxed ErZnAg3 crystal, from Alexandria.

a b c (Å): 4.596 6.095 6.855
angles (deg): 94.41 90.00 90.00
Fractional positions:
Er1 0.381 0.587 0.164
Er2 0.881 0.087 0.642
Zn1 0.381 0.777 0.588
Zn2 0.881 0.898 0.218
Ag1 0.881 0.535 0.453
Ag2 0.381 0.140 0.353
Ag3 0.881 0.671 0.863
Ag4 0.881 0.280 0.075
Ag5 0.381 0.395 0.731
Ag6 0.381 0.004 0.943

Summary:
* volume: 95.7 Å³/f.u.
* Fermi-level density of states: 3.43 states/eV per cell
* space-group type: P2_1/m, No. 11



(B)
The following is a GGA-PBE calculation of a relaxed ErZnAg3 crystal, from Alexandria.

a b c (Å): 3.667 4.392 13.119
angles (deg): 99.64 90.00 90.00
Fractional positions:
Er1 0.500 0.831 0.662
Er2 0.500 0.169 0.338
Zn1 0.000 0.622 0.243
Zn2 0.000 0.378 0.757
Ag1 0.000 0.059 0.118
Ag2 0.000 0.941 0.882
Ag3 0.000 0.280 0.560
Ag4 0.000 0.720 0.440
Ag5 0.500 0.448 0.897
Ag6 0.500 0.552 0.103

Summary:
* volume: 104.2 Å³/f.u.
* Fermi-level density of states: 5.14 states/eV per cell
* space-group type: Cmmm, No. 65



(A) wins, 122 meV per atom ahead of the next structure.



(A)
The following is a GGA-PBE calculation of a relaxed Er2Zn2Ag crystal, from Alexandria.

a b c (Å): 7.247 7.247 8.232
angles (deg): 90.00 90.00 90.00
Fractional positions:
Er1 0.671 0.829 0.500
Er2 0.329 0.171 0.500
Er3 0.829 0.329 0.000
Er4 0.171 0.671 0.000
Er5 0.829 0.329 0.500
Er6 0.171 0.671 0.500
Er7 0.329 0.171 0.000
Er8 0.671 0.829 0.000
Zn1 0.373 0.873 0.250
Zn2 0.627 0.127 0.250
Zn3 0.127 0.373 0.750
Zn4 0.873 0.627 0.750
Zn5 0.873 0.627 0.250
Zn6 0.127 0.373 0.250
Zn7 0.373 0.873 0.750
Zn8 0.627 0.127 0.750
Ag1 0.500 0.500 0.250
Ag2 0.000 0.000 0.750
Ag3 0.500 0.500 0.750
Ag4 0.000 0.000 0.250

Summary:
* volume: 108.1 Å³/f.u.
* Fermi-level density of states: 18.75 states/eV per cell
* space-group type: P4/mnc, No. 128



(B)
The following is a GGA-PBE calculation of a relaxed Er2Zn2Ag crystal, from Alexandria.

a b c (Å): 4.530 5.609 9.666
angles (deg): 88.41 76.45 66.18
Fractional positions:
Er1 0.681 0.308 0.330
Er2 0.917 0.272 0.894
Er3 0.319 0.692 0.670
Er4 0.083 0.728 0.106
Zn1 0.066 0.299 0.569
Zn2 0.635 0.842 0.889
Zn3 0.934 0.701 0.431
Zn4 0.365 0.158 0.111
Ag1 0.621 0.103 0.655
Ag2 0.379 0.897 0.345

Summary:
* volume: 108.9 Å³/f.u.
* Fermi-level density of states: 8.05 states/eV per cell
* space-group type: C2/m, No. 12



(A) wins, 11 meV per atom ahead of the next structure.



(A)
The following is a GGA-PBE calculation of a relaxed ErZn2Ag3 crystal, from Alexandria.

a b c (Å): 5.403 6.536 6.536
angles (deg): 85.21 90.00 90.00
Fractional positions:
Er1 0.750 0.651 0.349
Er2 0.250 0.349 0.651
Zn1 0.500 0.244 0.244
Zn2 0.000 0.244 0.244
Zn3 0.000 0.756 0.756
Zn4 0.500 0.756 0.756
Ag1 0.250 0.573 0.104
Ag2 0.250 0.896 0.427
Ag3 0.750 0.427 0.896
Ag4 0.250 0.004 0.996
Ag5 0.750 0.996 0.004
Ag6 0.750 0.104 0.573

Summary:
* volume: 115.0 Å³/f.u.
* Fermi-level density of states: 7.80 states/eV per cell
* space-group type: Cmcm, No. 63



(B)
The following is a GGA-PBE calculation of a relaxed ErZn2Ag3 crystal, from Alexandria.

a b c (Å): 4.620 4.620 12.178
angles (deg): 90.00 90.00 120.00
Fractional positions:
Er1 0.000 0.000 0.250
Er2 0.000 0.000 0.750
Zn1 0.667 0.333 0.380
Zn2 0.333 0.667 0.620
Zn3 0.333 0.667 0.880
Zn4 0.667 0.333 0.120
Ag1 0.000 0.000 0.500
Ag2 0.000 0.000 0.000
Ag3 0.667 0.333 0.611
Ag4 0.333 0.667 0.111
Ag5 0.667 0.333 0.889
Ag6 0.333 0.667 0.389

Summary:
* volume: 112.6 Å³/f.u.
* Fermi-level density of states: 2.12 states/eV per cell
* space-group type: P6_3/mmc, No. 194



(B) wins, 59 meV per atom ahead of the next structure.



(A)
The following is a GGA-PBE calculation of a relaxed Er4ZnAg3 crystal, from Alexandria.

a b c (Å): 3.629 4.742 11.046
angles (deg): 90.00 90.00 90.00
Fractional positions:
Er1 0.500 0.500 0.351
Er2 0.000 0.500 0.855
Er3 0.000 0.000 0.146
Er4 0.500 0.000 0.645
Zn1 0.500 0.500 0.078
Ag1 0.000 0.500 0.580
Ag2 0.000 0.000 0.420
Ag3 0.500 0.000 0.924

Summary:
* volume: 190.1 Å³/f.u.
* Fermi-level density of states: 7.80 states/eV per cell
* space-group type: Pmm2, No. 25



(B)
The following is a GGA-PBE calculation of a relaxed Er4ZnAg3 crystal, from Alexandria.

a b c (Å): 3.573 3.573 14.432
angles (deg): 90.00 90.00 90.00
Fractional positions:
Zn1 0.500 0.500 0.000
Ag1 0.500 0.500 0.246
Ag2 0.500 0.500 0.500
Ag3 0.500 0.500 0.754
Er1 0.000 0.000 0.880
Er2 0.000 0.000 0.120
Er3 0.000 0.000 0.373
Er4 0.000 0.000 0.627

Summary:
* volume: 184.3 Å³/f.u.
* Fermi-level density of states: 5.22 states/eV per cell
* space-group type: P4/mmm, No. 123



(B) wins, 55 meV per atom ahead of the next structure.



(A)
The following is a GGA-PBE calculation of a relaxed ErZrAg2 crystal, from Alexandria.

a b c (Å): 3.602 4.945 4.908
angles (deg): 90.00 90.00 90.00
Site moments in Bohr magnetons follow the coordinates.
Fractional positions:
Ag1 0.000 0.000 0.500  0.03
Ag2 0.000 0.500 0.000  0.03
Zr1 0.500 0.000 0.000  0.53
Er1 0.500 0.500 0.500  0.14

Summary:
* volume: 87.4 Å³/f.u.
* Fermi-level density of states: 3.99 states/eV per cell
* space-group type: Pmmm, No. 47



(B)
The following is a GGA-PBE calculation of a relaxed ErZrAg2 crystal, from Alexandria.

a b c (Å): 3.532 3.532 7.027
angles (deg): 90.00 90.00 90.00
Site moments in Bohr magnetons follow the coordinates.
Fractional positions:
Zr1 0.500 0.500 0.000  0.59
Ag1 0.000 0.000 0.761  0.04
Ag2 0.000 0.000 0.239  0.04
Er1 0.500 0.500 0.500  0.17

Summary:
* volume: 87.7 Å³/f.u.
* Fermi-level density of states: 3.33 states/eV per cell
* space-group type: P4/mmm, No. 123



(B) wins, 10 meV per atom ahead of the next structure.



(A)
The following is a GGA-PBE calculation of a relaxed Eu2AgF crystal, from Alexandria.

a b c (Å): 4.097 4.097 7.435
angles (deg): 74.01 74.01 60.00
Site moments in Bohr magnetons follow the coordinates.
Fractional positions:
Eu1 0.737 0.737 0.790  7.00
Eu2 0.263 0.263 0.210  7.00
Ag1 0.500 0.500 0.500  0.02
F1 0.000 0.000 0.000  -0.01

Summary:
* volume: 102.4 Å³/f.u.
* Fermi-level density of states: 13.49 states/eV per cell
* space-group type: R-3m, No. 166



(B)
The following is a GGA-PBE calculation of a relaxed Eu2AgF crystal, from Alexandria.

a b c (Å): 3.545 3.545 7.788
angles (deg): 90.00 90.00 90.00
Site moments in Bohr magnetons follow the coordinates.
Fractional positions:
Eu1 0.000 0.000 0.761  7.02
Eu2 0.000 0.000 0.239  7.02
Ag1 0.500 0.500 0.500  0.03
F1 0.500 0.500 0.000  0.00

Summary:
* volume: 97.9 Å³/f.u.
* Fermi-level density of states: 3.15 states/eV per cell
* space-group type: P4/mmm, No. 123



(A) wins, 173 meV per atom ahead of the next structure.